[1]
ReTc2H2: relaxed, GGA-PBE.

abc: 5.993 5.993 2.841
angles: 90.00 90.00 90.00
Element x y z (fractional)
Re  0.000  0.000  0.000
Re  0.500  0.500  0.000
Tc  0.138  0.362  0.500
Tc  0.362  0.862  0.500
Tc  0.638  0.138  0.500
Tc  0.862  0.638  0.500
H  0.205  0.705  0.000
H  0.295  0.205  0.000
H  0.705  0.795  0.000
H  0.795  0.295  0.000

Properties
V in Å³/f.u.: 51.0
Energy relative to the lowest polymorph listed for this composition in kJ/mol of atoms: 19.9

=====

[2]
ScSi2Mo: relaxed, GGA-PBE.

abc: 5.146 5.146 4.600
angles: 105.26 105.26 32.08
Element x y z (fractional)
Sc  0.000  0.000  0.000
Si  0.463  0.463  0.485
Si  0.757  0.757  0.148
Mo  0.206  0.206  0.614

Properties
V in Å³/f.u.: 62.2
Energy relative to the lowest polymorph listed for this composition in kJ/mol of atoms: 29.6

=====

[3]
CuBr: relaxed, GGA-PBE.

abc: 4.136 4.136 6.412
angles: 90.00 90.00 120.00
Element x y z (fractional)
Cu  0.000  0.000  0.250
Cu  0.000  0.000  0.750
Br  0.333  0.667  0.250
Br  0.667  0.333  0.750

Properties
V in Å³/f.u.: 47.5
Uncorrected energy in eV/f.u.: -6.15

=====

[4]
NdAlHg: relaxed, GGA-PBE.

abc: 4.868 4.868 4.868
angles: 60.00 60.00 60.00
Element x y z (fractional)
Nd  0.000  0.000  0.000
Al  0.500  0.500  0.500
Hg  0.750  0.750  0.750

Properties
V in Å³/f.u.: 81.6
ΔE_f in meV per atom: -328

=====

Please write out number 4 again, unchanged.
NdAlHg: relaxed, GGA-PBE.

abc: 4.868 4.868 4.868
angles: 60.00 60.00 60.00
Element x y z (fractional)
Nd  0.000  0.000  0.000
Al  0.500  0.500  0.500
Hg  0.750  0.750  0.750

Properties
V in Å³/f.u.: 81.6
ΔE_f in meV per atom: -328